Version A
This record from Alexandria describes a relaxed structure of NaZr2Mn. The functional is PBE.

Summary:
Calculated density   5.8 Mg/m³
Symmetry   Fm-3m, No. 225

Geometry as POSCAR:
```
NaZr2Mn
1.0
6.681 0.000 0.000
0.000 6.681 0.000
0.000 0.000 6.681
Na Zr Mn
4 8 4
Cartesian
0.000 0.000 0.000
0.000 3.341 3.341
3.341 0.000 3.341
3.341 3.341 0.000
1.670 1.670 1.670
1.670 1.670 5.011
1.670 5.011 1.670
1.670 5.011 5.011
5.011 1.670 1.670
5.011 1.670 5.011
5.011 5.011 1.670
5.011 5.011 5.011
0.000 0.000 3.341
0.000 3.341 0.000
3.341 0.000 0.000
3.341 3.341 3.341
```

=====

Version B
This record from Alexandria describes a relaxed structure of NaZr2Mn. The functional is PBE.

Summary:
Calculated density   3.1 Mg/m³
Symmetry   I4_1/amd, No. 141

Geometry as POSCAR:
```
NaZr2Mn
1.0
7.316 0.000 0.000
0.000 7.316 0.000
0.000 0.000 10.401
Na Zr Mn
4 8 4
Cartesian
0.000 1.829 3.901
0.000 5.487 6.501
3.658 1.829 1.300
3.658 5.487 9.101
0.000 0.000 0.000
0.000 3.658 0.000
1.829 1.829 7.801
1.829 5.487 2.600
3.658 0.000 5.201
3.658 3.658 5.201
5.487 1.829 7.801
5.487 5.487 2.600
0.000 1.829 9.101
0.000 5.487 1.300
3.658 1.829 6.501
3.658 5.487 3.901
```

=====

Name the most stable of them. version A.

=====

Version A
This record from Alexandria describes a relaxed structure of Na3ZrMn. The functional is PBE.

Summary:
Calculated density   2.3 Mg/m³
Symmetry   Pm-3m, No. 221

Geometry as POSCAR:
```
Na3ZrMn
1.0
5.372 0.000 0.000
0.000 5.372 0.000
0.000 0.000 5.372
Na Zr Mn
3 1 1
Cartesian
0.000 0.000 2.686
0.000 2.686 0.000
2.686 0.000 0.000
2.686 2.686 2.686
0.000 0.000 0.000
```

=====

Version B
This record from Alexandria describes a relaxed structure of Na3ZrMn. The functional is PBE.

Summary:
Calculated density   1.7 Mg/m³
Symmetry   Pm-3m, No. 221

Geometry as POSCAR:
```
Na3ZrMn
1.0
5.917 0.000 0.000
0.000 5.917 0.000
0.000 0.000 5.917
Na Zr Mn
3 1 1
Cartesian
0.000 0.000 2.959
0.000 2.959 0.000
2.959 0.000 0.000
0.000 0.000 0.000
2.959 2.959 2.959
```

=====

Name the most stable of them. version A.

=====

Version A
This record from Alexandria describes a relaxed structure of Mn6Nb. The functional is PBE.

Summary:
Calculated density   8.2 Mg/m³
Symmetry   Pnma, No. 62

Geometry as POSCAR:
```
Mn6Nb
1.0
7.713 0.000 0.000
0.000 4.598 0.000
0.000 0.000 9.634
Mn Nb
24 4
Cartesian
0.443 1.149 0.748
0.570 2.356 2.958
0.570 4.540 2.958
0.715 3.448 5.055
1.051 1.149 8.190
1.443 3.448 7.289
2.413 1.149 2.472
2.806 3.448 3.374
3.141 1.149 0.238
3.287 0.057 7.775
3.287 2.241 7.775
3.414 3.448 5.564
4.299 1.149 4.069
4.426 2.356 1.858
4.426 4.540 1.858
4.571 3.448 9.396
4.907 1.149 6.260
5.299 3.448 7.162
6.270 1.149 2.345
6.662 3.448 1.443
6.998 1.149 4.579
7.143 0.057 6.675
7.143 2.241 6.675
7.270 3.448 8.886
1.881 3.448 0.580
1.975 1.149 5.396
5.737 3.448 4.237
5.832 1.149 9.054
```

=====

Version B
This record from Alexandria describes a relaxed structure of Mn6Nb. The functional is PBE.

Summary:
Calculated density   5.4 Mg/m³
Symmetry   Pm-3m, No. 221

Geometry as POSCAR:
```
Mn6Nb
1.0
5.054 0.000 0.000
0.000 5.054 0.000
0.000 0.000 5.054
Mn Nb
6 1
Cartesian
0.000 0.000 1.579
0.000 0.000 3.475
0.000 1.579 0.000
0.000 3.475 0.000
1.579 0.000 0.000
3.475 0.000 0.000
2.527 2.527 2.527
```

=====

Version C
This record from Alexandria describes a relaxed structure of Mn6Nb. The functional is PBE.

Summary:
Calculated density   6.7 Mg/m³
Symmetry   Im-3m, No. 229

Geometry as POSCAR:
```
Mn6Nb
1.0
5.951 0.000 0.000
0.000 5.951 0.000
0.000 0.000 5.951
Mn Nb
12 2
Cartesian
0.000 1.488 2.976
0.000 2.976 1.488
0.000 2.976 4.463
0.000 4.463 2.976
1.488 0.000 2.976
1.488 2.976 0.000
2.976 0.000 1.488
2.976 0.000 4.463
2.976 1.488 0.000
2.976 4.463 0.000
4.463 0.000 2.976
4.463 2.976 0.000
0.000 0.000 0.000
2.976 2.976 2.976
```

=====

Name the most stable of them. version A.

=====

Version A
This record from Alexandria describes a relaxed structure of Mn3NbNi. The functional is PBE.

Summary:
Calculated density   6.3 Mg/m³
Symmetry   Pm-3m, No. 221

Geometry as POSCAR:
```
Mn3NbNi
1.0
4.377 0.000 0.000
0.000 4.377 0.000
0.000 0.000 4.377
Mn Nb Ni
3 1 1
Cartesian
0.000 0.000 2.189
0.000 2.189 0.000
2.189 0.000 0.000
2.189 2.189 2.189
0.000 0.000 0.000
```

=====

Version B
This record from Alexandria describes a relaxed structure of Mn3NbNi. The functional is PBE.

Summary:
Calculated density   5.4 Mg/m³
Symmetry   Pm-3m, No. 221

Geometry as POSCAR:
```
Mn3NbNi
1.0
4.605 0.000 0.000
0.000 4.605 0.000
0.000 0.000 4.605
Mn Nb Ni
3 1 1
Cartesian
0.000 0.000 2.303
0.000 2.303 0.000
2.303 0.000 0.000
0.000 0.000 0.000
2.303 2.303 2.303
```

=====

Name the most stable of them. version A.

=====

Version A
This record from Alexandria describes a relaxed structure of MnNbNi2. The functional is PBE.

Summary:
Calculated density   8.1 Mg/m³
Symmetry   Fm-3m, No. 225

Geometry as POSCAR:
```
MnNbNi2
1.0
6.009 0.000 0.000
0.000 6.009 0.000
0.000 0.000 6.009
Mn Nb Ni
4 4 8
Cartesian
0.000 0.000 0.000
0.000 3.004 3.004
3.004 0.000 3.004
3.004 3.004 0.000
0.000 0.000 3.004
0.000 3.004 0.000
3.004 0.000 0.000
3.004 3.004 3.004
1.502 1.502 1.502
1.502 1.502 4.507
1.502 4.507 1.502
1.502 4.507 4.507
4.507 1.502 1.502
4.507 1.502 4.507
4.507 4.507 1.502
4.507 4.507 4.507
```

=====

Version B
This record from Alexandria describes a relaxed structure of MnNbNi2. The functional is PBE.

Summary:
Calculated density   8.6 Mg/m³
Symmetry   P4/mmm, No. 123

Geometry as POSCAR:
```
MnNbNi2
1.0
3.670 0.000 0.000
0.000 3.670 0.000
0.000 0.000 3.796
Mn Nb Ni
1 1 2
Cartesian
0.000 0.000 0.000
1.835 1.835 0.000
0.000 1.835 1.898
1.835 0.000 1.898
```

=====

Version C
This record from Alexandria describes a relaxed structure of MnNbNi2. The functional is PBE.

Summary:
Calculated density   7.9 Mg/m³
Symmetry   I-42d, No. 122

Geometry as POSCAR:
```
MnNbNi2
1.0
3.593 0.000 0.000
0.000 3.593 0.000
0.000 0.000 17.305
Mn Nb Ni
4 4 8
Cartesian
0.000 0.000 0.000
0.000 1.797 4.326
1.797 0.000 12.978
1.797 1.797 8.652
0.000 0.000 8.652
0.000 1.797 12.978
1.797 0.000 4.326
1.797 1.797 0.000
0.822 0.898 2.163
0.898 2.619 6.489
0.898 2.772 15.141
0.975 0.898 10.815
2.619 2.695 10.815
2.695 0.822 15.141
2.695 0.975 6.489
2.772 2.695 2.163
```

=====

Version D
This record from Alexandria describes a relaxed structure of MnNbNi2. The functional is PBE.

Summary:
Calculated density   8.3 Mg/m³
Symmetry   P4/mmm, No. 123

Geometry as POSCAR:
```
MnNbNi2
1.0
2.802 0.000 0.000
0.000 2.802 0.000
0.000 0.000 6.791
Mn Nb Ni
1 1 2
Cartesian
0.000 0.000 0.000
0.000 0.000 3.395
1.401 1.401 1.501
1.401 1.401 5.289
```

=====

Name the most stable of them. version B.

=====

Version A
This record from Alexandria describes a relaxed structure of Mn2NbNi2. The functional is PBE.

Summary:
Calculated density   8.6 Mg/m³
Symmetry   P4/mbm, No. 127

Geometry as POSCAR:
```
Mn2NbNi2
1.0
6.945 0.000 0.000
0.000 6.945 0.000
0.000 0.000 2.570
Mn Nb Ni
4 2 4
Cartesian
0.762 2.711 0.000
2.711 6.183 0.000
4.235 0.762 0.000
6.183 4.235 0.000
0.000 0.000 0.000
3.473 3.473 0.000
1.267 4.739 1.285
2.206 1.267 1.285
4.739 5.679 1.285
5.679 2.206 1.285
```

=====

Version B
This record from Alexandria describes a relaxed structure of Mn2NbNi2. The functional is PBE.

Summary:
Calculated density   8.6 Mg/m³
Symmetry   P4/mbm, No. 127

Geometry as POSCAR:
```
Mn2NbNi2
1.0
7.010 0.000 0.000
0.000 7.010 0.000
0.000 0.000 2.520
Mn Nb Ni
4 2 4
Cartesian
1.217 2.288 0.000
2.288 5.793 0.000
4.722 1.217 0.000
5.793 4.722 0.000
0.000 0.000 1.260
3.505 3.505 1.260
0.848 4.353 1.260
2.657 0.848 1.260
4.353 6.162 1.260
6.162 2.657 1.260
```

=====

Version C
This record from Alexandria describes a relaxed structure of Mn2NbNi2. The functional is PBE.

Summary:
Calculated density   8.2 Mg/m³
Symmetry   I4/mmm, No. 139

Geometry as POSCAR:
```
Mn2NbNi2
1.0
3.595 0.000 0.000
0.000 3.595 0.000
0.000 0.000 10.008
Mn Nb Ni
4 2 4
Cartesian
0.000 0.000 0.979
0.000 0.000 9.029
1.798 1.798 4.025
1.798 1.798 5.983
0.000 0.000 5.004
1.798 1.798 0.000
0.000 1.798 2.502
0.000 1.798 7.506
1.798 0.000 2.502
1.798 0.000 7.506
```

=====

Name the most stable of them. version A.